{"formula": "NaAsS2N", "functional": "PBE-GGA", "state": "relaxed", "dft_energy_ev_per_atom": -3.00, "raw_formation_energy_kcal_per_mol_atoms": 34.86, "magmom_total_mub_per_atom": 0.63, "dos_at_fermi_per_ev_fu": 2.5, "cell": [[4.9951, 0.0000, 0.0000], [0.0000, 4.9951, 0.0000], [0.0000, 0.0000, 4.1319]], "species": ["S", "Na", "As", "S", "N"], "fractional_positions": [[0.0000, 0.5000, 0.0000], [0.0000, 0.0000, 0.0000], [0.5000, 0.5000, 0.5000], [0.5000, 0.0000, 0.0000], [0.0000, 0.0000, 0.5000]]}